18
Lattice="13.7309 0.0000 0.0000 0.0000 3.8964 0.0000 0.0000 0.0000 7.8214" Properties=species:S:1:pos:R:3 comment="PBE HoTlZn, optimized geometry" m_tot_mub_per_cell=0.0 dos_at_fermi_per_ev_cell=10.20 crystal_system=orthorhombic formation_energy_mev_per_atom=-275 pbc="T T T"
Ho 0.7562 0.0000 1.7783
Ho 3.4327 0.0000 6.3999
Ho 6.1092 0.0000 1.7783
Ho 7.6217 0.0000 6.0431
Ho 10.2982 0.0000 1.4215
Ho 12.9747 0.0000 6.0431
Tl 1.5441 1.9482 4.4225
Tl 3.4327 1.9482 1.2130
Tl 5.3214 1.9482 4.4225
Tl 8.4095 1.9482 3.3989
Tl 10.2982 1.9482 6.6084
Tl 12.1868 1.9482 3.3989
Zn 1.1895 1.9482 7.3027
Zn 3.4327 0.0000 3.3452
Zn 5.6759 1.9482 7.3027
Zn 8.0549 1.9482 0.5187
Zn 10.2982 0.0000 4.4762
Zn 12.5414 1.9482 0.5187

***

4
Lattice="0.0000 3.7541 3.7541 3.7541 0.0000 3.7541 3.7541 3.7541 0.0000" Properties=species:S:1:pos:R:3 comment="PBE PrDyCuPb, optimized geometry" m_tot_mub_per_cell=0.0 dos_at_fermi_per_ev_cell=4.66 crystal_system=cubic formation_energy_mev_per_atom=-291 pbc="T T T"
Pr 0.0000 0.0000 0.0000
Dy 3.7541 3.7541 3.7541
Cu 1.8771 1.8771 1.8771
Pb 5.6312 5.6312 5.6312

***

12
Lattice="6.3474 0.0000 0.0000 0.0149 7.3202 0.0000 2.1375 0.0153 8.8351" Properties=species:S:1:pos:R:3 comment="PBE Nd4Sm7Dy, optimized geometry" m_tot_mub_per_cell=0.0 dos_at_fermi_per_ev_cell=16.64 crystal_system=triclinic formation_energy_mev_per_atom=14 pbc="T T T"
Nd 2.1081 1.8492 2.9235
Nd 3.2114 7.3304 5.9046
Nd 5.2884 0.0052 2.9305
Nd 6.3917 5.4863 5.9115
Sm 8.4856 1.8560 8.8324
Sm 0.0142 5.4796 0.0027
Sm 2.1168 5.4835 2.9155
Sm 3.2202 3.6690 5.9072
Sm 3.1737 0.0000 0.0000
Sm 5.2796 3.6666 2.9279
Sm 6.3830 1.8521 5.9196
Dy 3.1812 3.6601 0.0000

***

4
Lattice="1.7513 1.0111 12.4716 -1.7513 1.0111 12.4716 0.0000 -2.0223 12.4716" Properties=species:S:1:pos:R:3 comment="PBE SmGdTh2, optimized geometry" m_tot_mub_per_cell=7.1 dos_at_fermi_per_ev_cell=6.14 crystal_system=trigonal formation_energy_mev_per_atom=213 pbc="T T T"
Sm 0.0000 0.0000 0.0000
Gd 0.0000 0.0000 18.7075
Th 0.0000 0.0000 3.2782
Th 0.0000 0.0000 34.1368

***

4
Lattice="0.0000 3.9367 3.9367 3.9367 0.0000 3.9367 3.9367 3.9367 0.0000" Properties=species:S:1:pos:R:3 comment="PBE BaTaTl2, optimized geometry" m_tot_mub_per_cell=3.5 dos_at_fermi_per_ev_cell=4.12 crystal_system=cubic formation_energy_mev_per_atom=854 pbc="T T T"
Ba 0.0000 0.0000 0.0000
Ta 1.9683 1.9683 1.9683
Tl 3.9367 3.9367 3.9367
Tl 5.9050 5.9050 5.9050

***

3
Lattice="0.0000 3.7852 3.7852 3.7852 0.0000 3.7852 3.7852 3.7852 0.0000" Properties=species:S:1:pos:R:3 comment="PBE BaPBr, optimized geometry" m_tot_mub_per_cell=2.0 e_form_raw_ev_per_atom=-0.496 dos_at_fermi_per_ev_cell=2.44 crystal_system=cubic pbc="T T T"
Ba 0.0000 0.0000 0.0000
P 1.8926 1.8926 1.8926
Br 3.7852 3.7852 3.7852